Compound: ZrCoPtO6
Source: the Alexandria database
Functional: PBE+U
Structure: relaxed

The calculation puts the density of states at the Fermi level at 6.04 states/eV/f.u. For the final energy, the calculation gives -6.83 eV/atom. The total magnetization comes out at 2.837 μB per formula unit.

The space group is P-31c (No. 163) and the conventional cell measures 5.2449, 5.2449 and 8.7552 Å, with angles of 90.00, 90.00 and 120.00 degrees. The asymmetric unit holds Zr at (0.3333, 0.6667, 0.2500), Co at (0.0000, 0.0000, 0.0000), Pt at (0.3333, 0.6667, 0.7500) and O at (0.0147, 0.3445, 0.6235).